(1)
# RbHgPbSe2 PBE relaxed
data_RbHgPbSe2
_symmetry_space_group_name_H-M 'P 1'
_symmetry_Int_Tables_number 1
_symmetry_space_group_name_Hall 'P 1'
_cell_length_a 8.0222
_cell_length_b 6.5137
_cell_length_c 6.6852
_cell_angle_alpha 90.00
_cell_angle_beta 113.99
_cell_angle_gamma 90.00
loop_
_atom_site_label
_atom_site_type_symbol
_atom_site_fract_x
_atom_site_fract_y
_atom_site_fract_z
_atom_site_occupancy
Rb1 Rb 0.0000 0.2208 0.2500 1
Rb2 Rb 0.0000 0.7792 0.7500 1
Hg1 Hg 0.5000 0.0000 0.0000 1
Hg2 Hg 0.5000 0.0000 0.5000 1
Pb1 Pb 0.5000 0.4970 0.2500 1
Pb2 Pb 0.5000 0.5030 0.7500 1
Se1 Se 0.1837 0.2810 0.8417 1
Se2 Se 0.1837 0.7190 0.3417 1
Se3 Se 0.8163 0.2810 0.6583 1
Se4 Se 0.8163 0.7190 0.1583 1
# VASP energy ... -2.8260 eV per atom
# Space group ... No. 13
# ΔE_f (raw) ... -437 meV/atom
# Volume ... 319.2 Å³ per cell

(2)
# HfCuSb PBE relaxed
data_HfCuSb
_symmetry_space_group_name_H-M 'P 1'
_symmetry_Int_Tables_number 1
_symmetry_space_group_name_Hall 'P 1'
_cell_length_a 4.3812
_cell_length_b 3.6966
_cell_length_c 7.5106
_cell_angle_alpha 90.00
_cell_angle_beta 95.54
_cell_angle_gamma 90.00
loop_
_atom_site_label
_atom_site_type_symbol
_atom_site_fract_x
_atom_site_fract_y
_atom_site_fract_z
_atom_site_occupancy
Hf1 Hf 0.2309 0.2500 0.2554 1
Hf2 Hf 0.7691 0.7500 0.7446 1
Cu1 Cu 0.2407 0.7500 0.5271 1
Cu2 Cu 0.7593 0.2500 0.4729 1
Sb1 Sb 0.2872 0.2500 0.8502 1
Sb2 Sb 0.7128 0.7500 0.1498 1
# VASP energy ... -6.1628 eV per atom
# Space group ... No. 11
# ΔE_f (raw) ... -105 meV/atom
# Volume ... 121.1 Å³ per cell

(3)
# HfB2Os PBE relaxed
data_HfB2Os
_symmetry_space_group_name_H-M 'P 1'
_symmetry_Int_Tables_number 1
_symmetry_space_group_name_Hall 'P 1'
_cell_length_a 7.7546
_cell_length_b 7.7546
_cell_length_c 7.7546
_cell_angle_alpha 150.72
_cell_angle_beta 150.72
_cell_angle_gamma 41.89
loop_
_atom_site_label
_atom_site_type_symbol
_atom_site_fract_x
_atom_site_fract_y
_atom_site_fract_z
_atom_site_occupancy
Hf1 Hf 0.3750 0.6250 0.7500 1
Hf2 Hf 0.6250 0.3750 0.2500 1
B1 B 0.0000 0.0000 0.0000 1
B2 B 0.0000 0.0000 0.5000 1
B3 B 0.0000 0.5000 0.0000 1
B4 B 0.5000 0.0000 0.5000 1
Os1 Os 0.1250 0.8750 0.2500 1
Os2 Os 0.8750 0.1250 0.7500 1
# VASP energy ... -8.6576 eV per atom
# E_form ... -0.023 eV/atom
# Space group ... No. 141
# Relative energy among the computed polymorphs ... 8 meV per atom
# Volume ... 111.3 Å³ per cell

(4)
# Cs4NaAu4 PBE relaxed
data_Cs4NaAu4
_symmetry_space_group_name_H-M 'P 1'
_symmetry_Int_Tables_number 1
_symmetry_space_group_name_Hall 'P 1'
_cell_length_a 9.1428
_cell_length_b 9.1428
_cell_length_c 9.1428
_cell_angle_alpha 131.59
_cell_angle_beta 131.59
_cell_angle_gamma 70.88
loop_
_atom_site_label
_atom_site_type_symbol
_atom_site_fract_x
_atom_site_fract_y
_atom_site_fract_z
_atom_site_occupancy
Cs1 Cs 0.0782 0.6483 0.0000 1
Cs2 Cs 0.3517 0.3517 0.4299 1
Cs3 Cs 0.6483 0.0782 0.0000 1
Cs4 Cs 0.9218 0.9218 0.5701 1
Na1 Na 0.5000 0.5000 0.0000 1
Au1 Au 0.1586 0.1586 0.5517 1
Au2 Au 0.3931 0.8414 0.0000 1
Au3 Au 0.6069 0.6069 0.4483 1
Au4 Au 0.8414 0.3931 0.0000 1
# VASP energy ... -2.2448 eV per atom
# E_form ... -0.262 eV/atom
# Space group ... No. 121
# Volume ... 418.7 Å³ per cell

(5)
# SbTe PBE relaxed
data_SbTe
_symmetry_space_group_name_H-M 'P 1'
_symmetry_Int_Tables_number 1
_symmetry_space_group_name_Hall 'P 1'
_cell_length_a 6.3783
_cell_length_b 6.3783
_cell_length_c 6.3783
_cell_angle_alpha 138.28
_cell_angle_beta 138.28
_cell_angle_gamma 60.48
loop_
_atom_site_label
_atom_site_type_symbol
_atom_site_fract_x
_atom_site_fract_y
_atom_site_fract_z
_atom_site_occupancy
Sb1 Sb 0.3750 0.6250 0.7500 1
Sb2 Sb 0.6250 0.3750 0.2500 1
Te1 Te 0.1250 0.8750 0.2500 1
Te2 Te 0.8750 0.1250 0.7500 1
# VASP energy ... -3.3293 eV per atom
# Space group ... No. 141
# Relative energy among the computed polymorphs ... 408 meV per atom
# ΔE_f (raw) ... 303 meV/atom
# Volume ... 113.7 Å³ per cell

(6)
# Ho3Ga2Ru2 PBE relaxed
data_Ho3Ga2Ru2
_symmetry_space_group_name_H-M 'P 1'
_symmetry_Int_Tables_number 1
_symmetry_space_group_name_Hall 'P 1'
_cell_length_a 5.5395
_cell_length_b 7.5629
_cell_length_c 13.9628
_cell_angle_alpha 90.00
_cell_angle_beta 90.00
_cell_angle_gamma 90.00
loop_
_atom_site_label
_atom_site_type_symbol
_atom_site_fract_x
_atom_site_fract_y
_atom_site_fract_z
_atom_site_occupancy
Ho1 Ho 0.1169 0.2368 0.2500 1
Ho2 Ho 0.1169 0.2632 0.7500 1
Ho3 Ho 0.3480 0.5996 0.0951 1
Ho4 Ho 0.3480 0.5996 0.4049 1
Ho5 Ho 0.3480 0.9004 0.5951 1
Ho6 Ho 0.3480 0.9004 0.9049 1
Ho7 Ho 0.6520 0.0996 0.0951 1
Ho8 Ho 0.6520 0.0996 0.4049 1
Ho9 Ho 0.6520 0.4004 0.5951 1
Ho10 Ho 0.6520 0.4004 0.9049 1
Ho11 Ho 0.8831 0.7368 0.2500 1
Ho12 Ho 0.8831 0.7632 0.7500 1
Ga1 Ga 0.1375 0.2500 0.0000 1
Ga2 Ga 0.1375 0.2500 0.5000 1
Ga3 Ga 0.3795 0.6061 0.7500 1
Ga4 Ga 0.3795 0.8939 0.2500 1
Ga5 Ga 0.6205 0.1061 0.7500 1
Ga6 Ga 0.6205 0.3939 0.2500 1
Ga7 Ga 0.8625 0.7500 0.0000 1
Ga8 Ga 0.8625 0.7500 0.5000 1
Ru1 Ru 0.1463 0.5378 0.5946 1
Ru2 Ru 0.1463 0.5378 0.9054 1
Ru3 Ru 0.1463 0.9622 0.0946 1
Ru4 Ru 0.1463 0.9622 0.4054 1
Ru5 Ru 0.8537 0.0378 0.5946 1
Ru6 Ru 0.8537 0.0378 0.9054 1
Ru7 Ru 0.8537 0.4622 0.0946 1
Ru8 Ru 0.8537 0.4622 0.4054 1
# VASP energy ... -6.0490 eV per atom
# E_form ... -0.572 eV/atom
# Space group ... No. 57
# Volume ... 585.0 Å³ per cell

(7)
# Li2MgTc PBE relaxed
data_Li2MgTc
_symmetry_space_group_name_H-M 'P 1'
_symmetry_Int_Tables_number 1
_symmetry_space_group_name_Hall 'P 1'
_cell_length_a 2.6566
_cell_length_b 4.8600
_cell_length_c 4.9560
_cell_angle_alpha 90.00
_cell_angle_beta 90.00
_cell_angle_gamma 90.00
loop_
_atom_site_label
_atom_site_type_symbol
_atom_site_fract_x
_atom_site_fract_y
_atom_site_fract_z
_atom_site_occupancy
Li1 Li 0.0000 0.0000 0.0000 1
Li2 Li 0.5000 0.5000 0.0000 1
Mg1 Mg 0.0000 0.5000 0.5000 1
Tc1 Tc 0.5000 0.0000 0.5000 1
# VASP energy ... -3.6510 eV per atom
# E_form ... 0.296 eV/atom
# Space group ... No. 47
# Volume ... 64.0 Å³ per cell

(8)
# Tb7Nd2Y2 PBE relaxed
data_Tb7Nd2Y2
_symmetry_space_group_name_H-M 'P 1'
_symmetry_Int_Tables_number 1
_symmetry_space_group_name_Hall 'P 1'
_cell_length_a 6.5436
_cell_length_b 6.5436
_cell_length_c 8.7797
_cell_angle_alpha 98.34
_cell_angle_beta 98.34
_cell_angle_gamma 93.51
loop_
_atom_site_label
_atom_site_type_symbol
_atom_site_fract_x
_atom_site_fract_y
_atom_site_fract_z
_atom_site_occupancy
Tb1 Tb 0.0000 0.0000 0.0000 1
Tb2 Tb 0.0822 0.4437 0.7947 1
Tb3 Tb 0.3933 0.3933 0.1439 1
Tb4 Tb 0.4437 0.0822 0.7947 1
Tb5 Tb 0.5563 0.9178 0.2053 1
Tb6 Tb 0.6067 0.6067 0.8561 1
Tb7 Tb 0.9178 0.5563 0.2053 1
Nd1 Nd 0.3226 0.6774 0.5000 1
Nd2 Nd 0.6774 0.3226 0.5000 1
Y1 Y 0.1482 0.1482 0.4043 1
Y2 Y 0.8518 0.8518 0.5957 1
# VASP energy ... -4.8716 eV per atom
# E_form ... 0.117 eV/atom
# Space group ... No. 12
# Relative energy among the computed polymorphs ... 0 meV per atom
# Volume ... 366.7 Å³ per cell